Density functional theory data (GGA+U) for a relaxed structure of CaMnZnF6.

a b c (Å): 5.5501 5.5501 9.1934
angles (deg): 90.00 90.00 120.00
Closest atoms and distances in Å follow each position.
Positions (direct):
Ca 0.3333 0.6667 0.2500  6 F 2.28
Ca 0.6667 0.3333 0.7500  6 F 2.28
Mn 0.0000 0.0000 0.0000  6 F 2.18
Mn 0.0000 0.0000 0.5000  6 F 2.18
Zn 0.6667 0.3333 0.2500  6 F 2.08
Zn 0.3333 0.6667 0.7500  6 F 2.08
F 0.6854 0.6570 0.1280  1 Zn 2.08, 1 Mn 2.18, 1 Ca 2.28
F 0.9717 0.3146 0.1280  1 Zn 2.08, 1 Mn 2.18, 1 Ca 2.28
F 0.3146 0.9717 0.6280  1 Zn 2.08, 1 Mn 2.18, 1 Ca 2.28
F 0.0283 0.6854 0.8720  1 Zn 2.08, 1 Mn 2.18, 1 Ca 2.28
F 0.3430 0.3146 0.3720  1 Zn 2.08, 1 Mn 2.18, 1 Ca 2.28
F 0.9717 0.6570 0.3720  1 Zn 2.08, 1 Mn 2.18, 1 Ca 2.28
F 0.6570 0.9717 0.8720  1 Zn 2.08, 1 Mn 2.18, 1 Ca 2.28
F 0.6854 0.0283 0.3720  1 Zn 2.08, 1 Mn 2.18, 1 Ca 2.28
F 0.0283 0.3430 0.6280  1 Zn 2.08, 1 Mn 2.18, 1 Ca 2.28
F 0.3430 0.0283 0.1280  1 Zn 2.08, 1 Mn 2.18, 1 Ca 2.28
F 0.6570 0.6854 0.6280  1 Zn 2.08, 1 Mn 2.18, 1 Ca 2.28
F 0.3146 0.3430 0.8720  1 Zn 2.08, 1 Mn 2.18, 1 Ca 2.28

Computed properties:
The value obtained for the uncorrected energy is -5.37 eV/atom. The density is 3716 kg/m3. The space group is No. 163.